(1)
First-principles (meta-GGA SCAN) data for a PBEsol-optimized structure of CdMo5, as listed in Alexandria.

a b c (Å): 4.6862 2.5972 15.7254
angles (deg): 90.00 90.00 90.00
Closest atoms and distances in Å follow each position.
Space group Amm2 (No. 38)
Inequivalent atoms, fractional coordinates:
Cd 0.0000 0.0000 0.0000 [2 per cell]  2 Cd 2.60, 6 Mo 2.83-2.91
Mo 0.0000 0.0000 0.3310 [2 per cell]  10 Mo 2.60-2.90
Mo 0.0000 0.0000 0.6660 [2 per cell]  10 Mo 2.60-2.90
Mo 0.5000 0.0000 0.2367 [2 per cell]  12 Mo 2.60-2.90
Mo 0.5000 0.0000 0.5721 [2 per cell]  6 Mo 2.60-2.90, 4 Cd 2.91
Mo 0.5000 0.0000 0.8989 [2 per cell]  8 Mo 2.60-2.88, 2 Cd 2.83

The total magnetization is 0.0 μB per formula unit. The value obtained for the calculated formation energy is 0.449 eV per atom. The value obtained for the distance to the lowest polymorph of the same formula is 0.68 eV per formula unit. The density of states at the Fermi level is 10.77 states/eV per cell.

(2)
First-principles (meta-GGA SCAN) data for a PBEsol-optimized structure of CdMo5, as listed in Alexandria.

a b c (Å): 7.3220 7.3220 7.3220
angles (deg): 90.00 90.00 90.00
Closest atoms and distances in Å follow each position.
Space group F-43m (No. 216)
Inequivalent atoms, fractional coordinates:
Cd 0.0000 0.0000 0.0000 [4 per cell]  16 Mo 3.03-3.17
Mo 0.1255 0.1255 0.3745 [16 per cell]  6 Mo 2.58-2.60
Mo 0.2500 0.2500 0.7500 [4 per cell]  12 Mo 3.04, 4 Cd 3.17

The total magnetization is 0.0 μB per formula unit. The value obtained for the calculated formation energy is 0.336 eV per atom. The value obtained for the distance to the lowest polymorph of the same formula is 0.00 eV per formula unit. The density of states at the Fermi level is 7.70 states/eV per cell.

Question: Which of these has the highest distance to the lowest polymorph of the same formula?
Answer: number 1

Question: Which of these has the lowest distance to the lowest polymorph of the same formula?
Answer: number 2